Crystalline Ga2Ag3 at its relaxed geometry. Source: the Alexandria database, functional PBE.

Computed properties:
Space group: R-3c
E_form: 0.10 eV per atom
Distance to the lowest polymorph of the same formula: 67.2 meV/atom
Total DFT energy (no corrections): -0.10385 hartree per atom

Geometry as extended XYZ:
```
10
Lattice="3.512 2.028 4.483 -3.512 2.028 4.483 0.000 -4.056 4.483" Properties=species:S:1:pos:R:3 pbc="T T T"
Ga 0.000 0.000 1.262
Ga 0.000 0.000 5.464
Ga 0.000 0.000 7.987
Ga 0.000 0.000 12.189
Ag -0.869 -1.505 3.363
Ag -0.869 1.505 3.363
Ag 1.738 0.000 3.363
Ag -1.738 0.000 10.088
Ag 0.869 -1.505 10.088
Ag 0.869 1.505 10.088
```